Model a:
DFT (PBE) results for a geometry-optimized LaTaMn structure.

```
LaTaMn
1.0
6.4949 -0.0090 0.0000
4.9157 4.2450 0.0000
-5.7053 -2.1180 2.2689
Mn La Ta
1 1 1
Direct
0.3008 0.3008 0.0000
0.9878 0.9878 0.0000
0.7114 0.7114 0.0000
```

Calculated values
Space group: No. 107

---

Model b:
DFT (PBE) results for a geometry-optimized LaTaMn structure.

```
LaTaMn
1.0
-2.2117 4.1226 -0.2220
-3.0218 1.2205 3.3639
1.1016 3.4137 3.0116
Mn Ta La
1 1 1
Direct
0.0000 0.0000 0.0000
0.5000 0.5000 0.5000
0.7500 0.7500 0.7500
```

Calculated values
Space group: No. 216

---

Model c:
DFT (PBE) results for a geometry-optimized LaTaMn structure.

```
LaTaMn
1.0
-1.8443 1.5312 2.1999
-1.3053 -2.2920 -1.9048
1.6005 -4.8072 4.6876
Mn Ta La
1 1 1
Direct
0.6667 0.3333 0.3720
0.3333 0.6667 0.6070
0.0000 0.0000 0.0210
```

Calculated values
Space group: No. 156

---

Model d:
DFT (PBE) results for a geometry-optimized LaTaMn structure.

```
LaTaMn
1.0
7.5258 -0.0254 0.0175
6.6528 2.9013 -0.0095
0.8730 -1.0683 2.7248
Ta Mn La
1 1 1
Direct
0.6952 0.6952 0.3048
0.3188 0.3188 0.6812
0.9860 0.9860 0.0140
```

Calculated values
Space group: No. 42

---

Name the least stable of them. model b.

---

Model a:
DFT (PBE) results for a geometry-optimized LaTaMn structure.

```
LaTaMn
1.0
4.5201 0.0000 0.0000
2.2601 3.9146 0.0000
2.2601 1.3049 3.6907
La Mn Ta
1 1 1
Direct
0.5000 0.5000 0.5000
0.7500 0.7500 0.7500
0.0000 0.0000 0.0000
```

Calculated values
Space group: No. 216

---

Model b:
DFT (PBE) results for a geometry-optimized LaTaMn structure.

```
LaTaMn
1.0
-4.3071 -0.1351 -0.5201
2.5751 -2.3226 -2.6104
-0.2253 -3.3147 2.7270
Ta La Mn
1 1 1
Direct
0.3333 0.6667 0.5001
0.0000 0.0000 0.0001
0.6667 0.3333 0.4998
```

Calculated values
Space group: No. 187

---

Name the least stable of them. model a.

---

Model a:
DFT (PBE) results for a geometry-optimized LaTaMn3 structure.

```
LaTaMn3
1.0
4.8088 0.0000 0.0000
0.0000 4.8088 0.0000
0.0000 0.0000 4.8088
Mn Ta La
3 1 1
Direct
0.0000 0.0000 0.5000
0.0000 0.5000 0.0000
0.5000 0.0000 0.0000
0.0000 0.0000 0.0000
0.5000 0.5000 0.5000
```

Calculated values
Space group: No. 221

---

Model b:
DFT (PBE) results for a geometry-optimized LaTaMn3 structure.

```
LaTaMn3
1.0
4.4781 0.0000 0.0000
0.0000 4.4781 0.0000
0.0000 0.0000 4.4781
Ta Mn La
1 3 1
Direct
0.5000 0.5000 0.5000
0.0000 0.0000 0.5000
0.0000 0.5000 0.0000
0.5000 0.0000 0.0000
0.0000 0.0000 0.0000
```

Calculated values
Space group: No. 221

---

Name the least stable of them. model b.

---

Model a:
DFT (PBE) results for a geometry-optimized La2MnTc structure.

```
La2MnTc
1.0
-0.7403 5.1382 -6.2655
-7.4973 -2.8209 -1.4276
-5.2826 3.2955 -1.9566
Tc Mn La
2 2 4
Direct
0.0000 0.0000 0.0000
0.7500 0.2500 0.5000
0.2500 0.7500 0.5000
0.5000 0.5000 0.0000
0.3750 0.3227 0.7500
0.0727 0.6250 0.2500
0.6773 0.1250 0.2500
0.8750 0.9273 0.7500
```

Calculated values
Space group: No. 122

---

Model b:
DFT (PBE) results for a geometry-optimized La2MnTc structure.

```
La2MnTc
1.0
-3.5503 -0.5668 0.0670
0.5357 -3.1638 1.6232
-0.4109 3.3660 6.6965
La Tc Mn
2 1 1
Direct
0.0000 0.0000 0.9810
0.0000 0.0000 0.5190
0.5000 0.5000 0.7500
0.5000 0.5000 0.2500
```

Calculated values
Space group: No. 123

---

Model c:
DFT (PBE) results for a geometry-optimized La2MnTc structure.

```
La2MnTc
1.0
-0.6532 -2.8858 1.2972
2.5163 -1.2767 -1.5734
5.3332 1.9248 6.9676
Tc Mn La
1 1 2
Direct
0.5000 0.5000 0.6874
0.0000 0.0000 0.5638
0.0000 0.0000 0.9306
0.5000 0.5000 0.3182
```

Calculated values
Space group: No. 99

---

Model d:
DFT (PBE) results for a geometry-optimized La2MnTc structure.

```
La2MnTc
1.0
-7.2459 1.3454 -5.7099
-8.6692 -0.8525 -3.3218
-8.5372 2.6283 -2.6691
Mn La Tc
1 2 1
Direct
0.2500 0.2500 0.2500
0.0058 0.0058 0.0058
0.4942 0.4942 0.4942
0.7500 0.7500 0.7500
```

Calculated values
Space group: No. 166

---

Name the least stable of them. model a.

---

Model a:
DFT (PBE) results for a geometry-optimized La2MnTc structure.

```
La2MnTc
1.0
4.9927 0.0000 0.0000
2.4964 4.3238 0.0000
2.4964 1.4413 4.0765
La Mn Tc
2 1 1
Direct
0.0000 0.0000 0.0000
0.2500 0.2500 0.2500
0.5000 0.5000 0.5000
0.7500 0.7500 0.7500
```

Calculated values
Space group: No. 216

---

Model b:
DFT (PBE) results for a geometry-optimized La2MnTc structure.

```
La2MnTc
1.0
5.5847 -0.4308 0.0000
2.4880 5.0185 0.0000
-4.0364 -2.2938 3.1338
Mn La Tc
1 2 1
Direct
0.5000 0.5000 0.0000
0.2500 0.7500 0.5000
0.0000 0.0000 0.0000
0.7500 0.2500 0.5000
```

Calculated values
Space group: No. 119

---

Name the least stable of them. model b.

---

Model a:
DFT (PBE) results for a geometry-optimized La2MnTc structure.

```
La2MnTc
1.0
3.0682 -3.8435 -0.8510
-1.7203 -4.1199 -2.2310
1.4068 -1.0848 -4.6642
La Tc Mn
2 1 1
Direct
0.2500 0.2500 0.2500
0.7500 0.7500 0.7500
0.5000 0.5000 0.5000
0.0000 0.0000 0.0000
```

Calculated values
Space group: No. 225

---

Model b:
DFT (PBE) results for a geometry-optimized La2MnTc structure.

```
La2MnTc
1.0
-1.3924 3.3388 1.3635
-3.0392 -0.8896 -0.9254
-3.1556 -3.9571 6.4673
La Tc Mn
2 1 1
Direct
0.0000 0.9867 0.9102
0.5000 0.2708 0.3412
0.5000 0.7328 0.6714
0.0000 0.5097 0.5772
```

Calculated values
Space group: No. 6

---

Name the least stable of them. model a.

---

Model a:
DFT (PBE) results for a geometry-optimized LaMn3Tc structure.

```
LaMn3Tc
1.0
4.7170 0.0000 0.0000
0.0000 4.7170 0.0000
0.0000 0.0000 4.7170
Mn La Tc
3 1 1
Direct
0.0000 0.5000 0.0000
0.0000 0.0000 0.5000
0.5000 0.0000 0.0000
0.5000 0.5000 0.5000
0.0000 0.0000 0.0000
```

Calculated values
Space group: No. 221

---

Model b:
DFT (PBE) results for a geometry-optimized LaMn3Tc structure.

```
LaMn3Tc
1.0
4.4948 0.0000 0.0000
0.0000 4.4948 0.0000
0.0000 0.0000 4.4948
Mn Tc La
3 1 1
Direct
0.5000 0.0000 0.0000
0.0000 0.5000 0.0000
0.0000 0.0000 0.5000
0.5000 0.5000 0.5000
0.0000 0.0000 0.0000
```

Calculated values
Space group: No. 221

---

Name the least stable of them. model b.

---

Model a:
DFT (PBE) results for a geometry-optimized La2TiMn2 structure.

```
La2TiMn2
1.0
-5.1038 4.8057 -0.2517
-1.0080 -0.7088 6.9057
3.1730 3.4124 0.8134
La Mn Ti
4 4 2
Direct
0.6728 0.8272 0.5000
0.3272 0.1728 0.5000
0.8272 0.3272 0.5000
0.1728 0.6728 0.5000
0.8623 0.6377 0.0000
0.1377 0.3623 0.0000
0.6377 0.1377 0.0000
0.3623 0.8623 0.0000
0.5000 0.5000 0.0000
0.0000 0.0000 0.0000
```

Calculated values
Space group: No. 127

---

Model b:
DFT (PBE) results for a geometry-optimized La2TiMn2 structure.

```
La2TiMn2
1.0
4.4317 0.0000 0.0000
0.0000 4.4317 0.0000
2.2158 2.2158 6.0888
Mn La Ti
2 2 1
Direct
0.4105 0.4105 0.1790
0.5895 0.5895 0.8210
0.2500 0.7500 0.5000
0.7500 0.2500 0.5000
0.0000 0.0000 0.0000
```

Calculated values
Space group: No. 139

---

Name the least stable of them. model b.

---

Model a:
DFT (PBE) results for a geometry-optimized LaTi2Mn2 structure.

```
LaTi2Mn2
1.0
-2.2568 -3.6987 0.5991
2.8945 -2.1651 -2.4632
3.0627 -3.9403 3.1786
Ti Mn La
2 2 1
Direct
0.3448 0.3448 0.3105
0.6552 0.6552 0.6895
0.2500 0.7500 0.5000
0.7500 0.2500 0.5000
0.0000 0.0000 0.0000
```

Calculated values
Space group: No. 139

---

Model b:
DFT (PBE) results for a geometry-optimized LaTi2Mn2 structure.

```
LaTi2Mn2
1.0
-1.1808 -3.8275 -6.5607
5.4500 -5.0517 1.9662
-2.1244 -1.7465 1.4013
Ti Mn La
4 4 2
Direct
0.6344 0.8656 0.5000
0.3656 0.1344 0.5000
0.1344 0.6344 0.5000
0.8656 0.3656 0.5000
0.8663 0.6337 0.0000
0.1337 0.3663 0.0000
0.3663 0.8663 0.0000
0.6337 0.1337 0.0000
0.0000 0.0000 0.0000
0.5000 0.5000 0.0000
```

Calculated values
Space group: No. 127

---

Name the least stable of them. model a.

---

Model a:
DFT (PBE) results for a geometry-optimized LaTiMn2 structure.

```
LaTiMn2
1.0
-3.9259 2.1815 -0.7171
-1.7341 -3.7476 -1.9064
-5.5196 -3.2348 5.9541
Mn Ti La
4 2 2
Direct
0.3750 0.1250 0.2500
0.8750 0.6250 0.7500
0.3750 0.6250 0.2500
0.3750 0.6250 0.7500
0.2500 0.7500 0.5000
0.5000 0.5000 0.0000
0.7500 0.2500 0.5000
0.0000 0.0000 0.0000
```

Calculated values
Space group: No. 141

---

Model b:
DFT (PBE) results for a geometry-optimized LaTiMn2 structure.

```
LaTiMn2
1.0
0.3297 -4.5011 0.3578
-3.2544 -2.3487 2.0951
-2.7637 -2.6696 -2.3941
La Mn Ti
1 2 1
Direct
0.5000 0.5000 0.5000
0.7500 0.7500 0.7500
0.2500 0.2500 0.2500
0.0000 0.0000 0.0000
```

Calculated values
Space group: No. 225

---

Name the least stable of them. model a.

---

Model a:
DFT (PBE) results for a geometry-optimized La2TiMn structure.

```
La2TiMn
1.0
-2.7887 -2.7409 -3.2851
-5.0538 -0.3741 0.6326
-3.1612 2.3523 -3.2488
La Mn Ti
2 1 1
Direct
0.7500 0.7500 0.7500
0.2500 0.2500 0.2500
0.5000 0.5000 0.5000
0.0000 0.0000 0.0000
```

Calculated values
Space group: No. 225

---

Model b:
DFT (PBE) results for a geometry-optimized La2TiMn structure.

```
La2TiMn
1.0
-6.1773 5.7490 6.2050
-1.5581 -8.3253 6.1623
-2.0960 -0.7104 7.4122
Mn La Ti
2 4 2
Direct
0.7500 0.2500 0.5000
0.0000 0.0000 0.0000
0.8750 0.0415 0.7500
0.7915 0.1250 0.2500
0.9585 0.6250 0.2500
0.3750 0.2085 0.7500
0.5000 0.5000 0.0000
0.2500 0.7500 0.5000
```

Calculated values
Space group: No. 122

---

Name the least stable of them. model a.

---

Model a:
DFT (PBE) results for a geometry-optimized LaMnTl3 structure.

```
LaMnTl3
1.0
-1.5666 -5.3541 -2.4837
-1.6304 -2.0771 5.5060
-5.6724 2.0757 -0.8967
Tl La Mn
3 1 1
Direct
0.5000 0.0000 0.0000
0.0000 0.5000 0.0000
0.0000 0.0000 0.5000
0.0000 0.0000 0.0000
0.5000 0.5000 0.5000
```

Calculated values
Space group: No. 221

---

Model b:
DFT (PBE) results for a geometry-optimized LaMnTl3 structure.

```
LaMnTl3
1.0
5.1557 0.0000 0.0000
0.0000 5.1557 0.0000
0.0000 0.0000 5.1557
Tl Mn La
3 1 1
Direct
0.0000 0.5000 0.0000
0.5000 0.0000 0.0000
0.0000 0.0000 0.5000
0.0000 0.0000 0.0000
0.5000 0.5000 0.5000
```

Calculated values
Space group: No. 221

---

Name the least stable of them. model a.